A plane-wave DFT calculation with PBE was carried out for a relaxed Sc2AlSiGe crystal.

Properties
- calculated volume (A^3/atom) = 23.4
- total DFT energy (no corrections) (eV for the cell shown) = -24.40

Unit cell a=5.0971 b=5.0971 c=4.5058 alpha=90.00 beta=90.00 gamma=90.00
Last column: nearest neighbours and their distance in Å.
Space group P4/mmm (No. 123)
One atom of each set of equivalent atoms:
Sc  0.0000  0.5000  0.0000 [2 per cell]  2 Al 2.55
Al  0.0000  0.0000  0.0000 [1 per cell]  2 Si 2.25
Si  0.0000  0.0000  0.5000 [1 per cell]  2 Al 2.25
Ge  0.5000  0.5000  0.5000 [1 per cell]  8 Sc 3.40, 4 Si 3.60

A plane-wave DFT calculation with PBE was carried out for a relaxed ScAlSnGe2 crystal.

Properties
- calculated volume (A^3/atom) = 29.6
- total DFT energy (no corrections) (eV for the cell shown) = -19.34

Unit cell a=5.2099 b=5.2099 c=5.4469 alpha=90.00 beta=90.00 gamma=90.00
Last column: nearest neighbours and their distance in Å.
Space group P4/mmm (No. 123)
One atom of each set of equivalent atoms:
Sc  0.0000  0.0000  0.0000 [1 per cell]  2 Sn 2.72
Al  0.5000  0.5000  0.0000 [1 per cell]  4 Sc 3.68, 8 Ge 3.77
Sn  0.0000  0.0000  0.5000 [1 per cell]  4 Ge 2.60, 2 Sc 2.72
Ge  0.0000  0.5000  0.5000 [2 per cell]  2 Sn 2.60

A plane-wave DFT calculation with PBE was carried out for a relaxed Al5Ge3Se12 crystal.

Properties
- calculated volume (A^3/atom) = 23.9
- total DFT energy (no corrections) (eV for the cell shown) = -660.03

Unit cell a=15.6468 b=15.6468 c=15.6468 alpha=90.00 beta=90.00 gamma=90.00
Last column: nearest neighbours and their distance in Å.
Space group Ia-3d (No. 230)
One atom of each set of equivalent atoms:
Al  0.0000  0.0000  0.0000 [16 per cell]  6 Se 2.56
Al  0.0000  0.2500  0.3750 [24 per cell]  4 Se 2.40
Ge  0.0000  0.2500  0.1250 [24 per cell]  8 Se 2.99-3.04
Se  0.0284  0.0626  0.6486 [96 per cell]  2 Al 2.40-2.56